# MnNiN2

An optimized crystal structure of MnNiN2 (PBEsol, Alexandria via LeMat-Bulk).

Unit cell a=2.5758 b=2.5758 c=11.8703 alpha=90.00 beta=90.00 gamma=120.00
With the nearest neighbours (Å) after each atom.
Positions (direct):
Mn  0.3333  0.6667  0.2500  6 N 1.89
Mn  0.6667  0.3333  0.7500  6 N 1.89
Ni  0.0000  0.0000  0.0000  2 N 1.80
Ni  0.0000  0.0000  0.5000  2 N 1.80
N  0.0000  0.0000  0.1515  1 Ni 1.80, 3 Mn 1.89
N  0.0000  0.0000  0.3485  1 Ni 1.80, 3 Mn 1.89
N  0.0000  0.0000  0.6515  1 Ni 1.80, 3 Mn 1.89
N  0.0000  0.0000  0.8485  1 Ni 1.80, 3 Mn 1.89

Summary:
Crystal system = hexagonal
Density of states at the Fermi level = 1.867 states/eV/cell
E above lowest polymorph = 32 meV/atom
Space-group type = P6_3/mmc, No. 194